## Ac5RuAu (PBE)

Data for an optimized crystal structure of Ac5RuAu.

Cell lengths 12.8953, 8.0835, 11.4657 Å; angles 90.00, 113.36, 90.00 degrees
Last column: nearest neighbours and their distance in Å.
Space group C2/c (No. 15)
Symmetry-distinct sites (fractional):
Ac1 0.0000 0.0658 0.2500  2 Ru 2.92, 1 Au 3.13
Ac2 0.0968 0.3274 0.9982  1 Ru 2.93, 1 Au 3.16
Ac3 0.2206 0.1440 0.6382  1 Ru 2.90
Ru1 0.0000 0.0000 0.0000  6 Ac 2.90-2.93
Au1 0.0000 0.4527 0.2500  5 Ac 3.13-3.40

Output
Magnetization: 0.0 μB/cell
Distance to the lowest polymorph of the same formula: 0.087 eV per atom
D(E_F): 0.911 states/eV per atom
DFT formation energy: -212 meV/atom